Density functional theory data (GGA-PBE) for a geometry-optimized CrRhPb2 structure.

a = 4.1414 Å, b = 3.8799 Å, c = 5.6421 Å
α = 70.04°, β = 90.00°, γ = 90.00°
With the nearest neighbours (Å) after each atom.
Fractional positions:
Rh: 0.0000 0.6940 0.4876  2 Cr 2.54
Cr: 0.5000 0.5543 0.7658  2 Rh 2.54
Pb: 0.0000 0.9772 0.9224  4 Cr 2.95-2.96, 3 Rh 3.00-3.02
Pb: 0.5000 0.2745 0.3242  3 Cr 2.96-3.04, 4 Rh 2.97

- Crystal system: monoclinic
- Formation enthalpy at 0 K: 0.270 eV per atom
- Space group: Pm (6)
- V: 85.2 Å³ per cell

Density functional theory data (GGA-PBE) for a geometry-optimized CrRhPb structure.

a = 5.9201 Å, b = 5.9199 Å, c = 3.1655 Å
α = 74.50°, β = 74.50°, γ = 31.01°
With the nearest neighbours (Å) after each atom.
Fractional positions:
Pb: 0.3312 0.3312 0.6688  4 Rh 3.04, 5 Cr 3.09-3.35, 4 Pb 3.17
Cr: 0.0256 0.0256 0.9744  4 Rh 2.58
Rh: 0.6432 0.6433 0.3568  4 Cr 2.58

- Crystal system: tetragonal
- Formation enthalpy at 0 K: 0.317 eV per atom
- Space group: I4mm (107)
- V: 54.9 Å³ per cell

Density functional theory data (GGA-PBE) for a geometry-optimized CrRhPb2 structure.

a = 4.7776 Å, b = 4.7776 Å, c = 5.6208 Å
α = 78.18°, β = 78.18°, γ = 42.23°
With the nearest neighbours (Å) after each atom.
Fractional positions:
Rh: 0.2500 0.2500 0.2500  6 Pb 2.86-2.90
Pb: 0.9928 0.9928 0.0112  3 Rh 2.86-2.90, 3 Cr 2.87-2.98
Pb: 0.5072 0.5072 0.4888  3 Rh 2.86-2.90, 3 Cr 2.87-2.98
Cr: 0.7500 0.7500 0.7500  6 Pb 2.87-2.98

- Crystal system: monoclinic
- Formation enthalpy at 0 K: 0.359 eV per atom
- Space group: C2/m (12)
- V: 84.1 Å³ per cell